# Ba2La2Co4O11 (PBE with a Hubbard U, optimized geometry)
# E_tot: -126.0 eV/cell
# Magnetic moment: 0.11 μB/atom
data_Ba2La2Co4O11
_chemical_formula_sum 'Ba2 La2 Co4 O11'
_space_group_name_H-M_alt 'P m m m'
_space_group_IT_number 47
_cell_length_a 3.936
_cell_length_b 7.722
_cell_length_c 7.895
_cell_angle_alpha 90.00
_cell_angle_beta 90.00
_cell_angle_gamma 90.00
loop_
_space_group_symop_operation_xyz
'x,y,z'
'-x,-y,-z'
'-x,-y,z'
'x,y,-z'
'x,-y,-z'
'-x,y,z'
'-x,y,-z'
'x,-y,z'
loop_
_atom_site_label
_atom_site_type_symbol
_atom_site_fract_x
_atom_site_fract_y
_atom_site_fract_z
Ba1 Ba 0.000 0.000 0.249
La1 La 0.000 0.500 0.233
Co1 Co 0.500 0.251 0.000
Co2 Co 0.500 0.253 0.500
O1 O 0.000 0.266 0.000
O2 O 0.000 0.308 0.500
O3 O 0.500 0.000 0.000
O4 O 0.500 0.000 0.500
O5 O 0.500 0.289 0.271
O6 O 0.500 0.500 0.000